Record 1
This record from Alexandria describes YOs2Ru after structural relaxation. The functional is GGA-PBE.

a b c (Å): 4.576 4.576 4.576
angles (deg): 60.00 60.00 60.00
Site moments in Bohr magnetons follow the coordinates.
Positions (direct):
1 Os 0.750 0.750 0.750  0.42
2 Y 0.000 0.000 0.000  0.00
3 Ru 0.500 0.500 0.500  1.01
4 Os 0.250 0.250 0.250  0.42

Output
The value obtained for the size of the total moment is 1.91 Bohr magnetons per cell. The formation energy from the elements is 0.551 eV per atom. As for the density of states at the Fermi level: 1.51 states/eV/atom.

=====

Record 2
This record from Alexandria describes YOs2Ru after structural relaxation. The functional is GGA-PBE.

a b c (Å): 3.048 4.577 4.767
angles (deg): 90.00 90.00 90.00
Positions (direct):
1 Ru 0.500 0.000 0.500
2 Os 0.000 0.000 0.000
3 Y 0.000 0.500 0.500
4 Os 0.500 0.500 0.000

Output
The value obtained for the size of the total moment is 0.00 Bohr magnetons per cell. The formation energy from the elements is 0.352 eV per atom. As for the density of states at the Fermi level: 1.32 states/eV/atom.

=====

Record 3
This record from Alexandria describes YOs4Ru after structural relaxation. The functional is GGA-PBE.

a b c (Å): 5.219 5.219 5.219
angles (deg): 60.00 60.00 60.00
Positions (direct):
1 Os 0.624 0.127 0.624
2 Y 0.000 0.000 0.000
3 Os 0.624 0.624 0.127
4 Os 0.127 0.624 0.624
5 Os 0.624 0.624 0.624
6 Ru 0.250 0.250 0.250

Output
The value obtained for the size of the total moment is 0.00 Bohr magnetons per cell. The formation energy from the elements is 0.301 eV per atom. As for the density of states at the Fermi level: 1.30 states/eV/atom.

=====

Record 4
This record from Alexandria describes Y2OsRu after structural relaxation. The functional is GGA-PBE.

a b c (Å): 4.773 4.773 4.773
angles (deg): 60.00 60.00 60.00
Positions (direct):
1 Ru 0.750 0.750 0.750
2 Y 0.250 0.250 0.250
3 Os 0.500 0.500 0.500
4 Y 0.000 0.000 0.000

Output
The value obtained for the size of the total moment is 0.00 Bohr magnetons per cell. The formation energy from the elements is 0.228 eV per atom. As for the density of states at the Fermi level: 1.37 states/eV/atom.

=====

Record 5
This record from Alexandria describes Y2OsRu2 after structural relaxation. The functional is GGA-PBE.

a b c (Å): 6.632 6.632 4.526
angles (deg): 90.00 90.00 90.00
Positions (direct):
1 Ru 0.359 0.859 0.000
2 Y 0.179 0.679 0.500
3 Ru 0.859 0.641 0.000
4 Ru 0.141 0.359 0.000
5 Y 0.821 0.321 0.500
6 Y 0.679 0.821 0.500
7 Os 0.500 0.500 0.000
8 Y 0.321 0.179 0.500
9 Ru 0.641 0.141 0.000
10 Os 0.000 0.000 0.000

Output
The value obtained for the size of the total moment is 0.00 Bohr magnetons per cell. The formation energy from the elements is -0.121 eV per atom. As for the density of states at the Fermi level: 0.98 states/eV/atom.

=====

Record 6
This record from Alexandria describes YOsRu after structural relaxation. The functional is GGA-PBE.

a b c (Å): 5.355 5.355 5.355
angles (deg): 90.01 118.54 121.46
Positions (direct):
1 Ru 0.500 0.500 0.500
2 Y 0.250 0.123 0.873
3 Y 0.750 0.877 0.127
4 Os 0.500 0.000 0.500
5 Ru 0.000 0.500 0.000
6 Os 0.000 0.500 0.500

Output
The value obtained for the size of the total moment is 0.00 Bohr magnetons per cell. The formation energy from the elements is -0.282 eV per atom. As for the density of states at the Fermi level: 1.16 states/eV/atom.

=====

Q: Among the records above, which one has the highest formation energy from the elements?
A: number 1

=====

Q: Number 3 is which compound?
A: YOs4Ru

=====

Q: formation energy from the elements of number 3 (YOs4Ru)?
A: 0.301 eV per atom

=====

Q: Look up the size of the total moment of the third one.
A: 0.00 Bohr magnetons per cell